No. 1
The following is a DFT calculation (GGA-PBE) of crystalline TaCuAu at its relaxed geometry.

abc: 4.4736 4.4736 2.7432
angles: 90.00 90.00 120.00
Positions (direct):
Cu: 0.6667 0.3333 0.1673
Au: 0.0000 0.0000 0.1665
Ta: 0.3333 0.6667 0.6662

Summary:
Energy above the most stable polymorph in this dataset in eV/atom: 0.000
Energy of formation from the pure elements in eV/atom: -0.01

---

No. 2
The following is a DFT calculation (GGA-PBE) of crystalline BeInRh2 at its relaxed geometry.

abc: 4.0423 4.0423 8.6981
angles: 76.56 76.56 90.00
Positions (direct):
Rh: 0.1918 0.6250 0.2500
Rh: 0.8750 0.8082 0.7500
Rh: 0.5582 0.1250 0.2500
Rh: 0.3750 0.4418 0.7500
Be: 0.2500 0.7500 0.5000
Be: 0.5000 0.5000 0.0000
In: 0.7500 0.2500 0.5000
In: 0.0000 0.0000 0.0000

Summary:
Energy of formation from the pure elements in eV/atom: 0.19

---

No. 3
The following is a DFT calculation (GGA-PBE) of crystalline VWSe2 at its relaxed geometry.

abc: 8.6320 8.6320 8.6320
angles: 20.44 20.44 20.44
Positions (direct):
W: 0.0000 0.0000 0.0000
Se: 0.0994 0.0994 0.0994
Se: 0.9006 0.9006 0.9006
V: 0.5000 0.5000 0.5000

Summary:
Energy above the most stable polymorph in this dataset in eV/atom: 0.000
Formation energy from raw total energies in eV/atom: 0.08

---

| no. | total energy (eV/cell) |
| --- | --- |
| 1 | -19.241 |
| 2 | -40.804 |
| 3 | -28.728 |